The following is a DFT calculation (PBE) of a geometry-optimized Ba2IO5 structure.

The structure in POSCAR format:
```
Ba2IO5
1.0
-3.1189 3.1189 3.9074
3.1189 -3.1189 3.9074
3.1189 3.1189 -3.9074
Ba I O
2 1 5
Cartesian
3.1189 0.0000 0.0000
0.0000 3.1189 0.0000
0.0000 0.0000 1.9359
1.7368 1.7368 -2.1079
1.3821 -1.3821 1.7995
-1.3821 1.3821 1.7995
1.3821 1.3821 1.7995
0.0000 0.0000 3.7686
```

Summary:
magnetization = 0.97 μB/f.u.
ΔE_f (raw) = -1611.9 meV per atom